Compound: TaReTcAu2
Source: the Alexandria database
Functional: PBE-GGA
Structure: relaxed

The structure in CIF format:
```
data_TaReTcAu2
_cell_length_a 4.899
_cell_length_b 4.899
_cell_length_c 4.550
_cell_angle_alpha 90.00
_cell_angle_beta 90.00
_cell_angle_gamma 90.00
_space_group_name_H-M_alt 'P 4/m m m'
_space_group_IT_number 123
_space_group_name_Hall '-P 4 2'
loop_
_atom_site_label
_atom_site_type_symbol
_atom_site_fract_x
_atom_site_fract_y
_atom_site_fract_z
Ta1 Ta 0.000 0.000 0.000
Re1 Re 0.500 0.500 0.000
Tc1 Tc 0.500 0.500 0.500
Au1 Au 0.000 0.500 0.500
```

## Properties
For the total DFT energy (no corrections), the calculation gives -31.86 eV for the cell shown.

---

Compound: TaReW2Au
Source: the Alexandria database
Functional: PBE-GGA
Structure: relaxed

The structure in CIF format:
```
data_TaReW2Au
_cell_length_a 4.748
_cell_length_b 4.748
_cell_length_c 4.760
_cell_angle_alpha 90.00
_cell_angle_beta 90.00
_cell_angle_gamma 90.00
_space_group_name_H-M_alt 'P 4/m m m'
_space_group_IT_number 123
_space_group_name_Hall '-P 4 2'
loop_
_atom_site_label
_atom_site_type_symbol
_atom_site_fract_x
_atom_site_fract_y
_atom_site_fract_z
Ta1 Ta 0.000 0.000 0.000
Re1 Re 0.000 0.000 0.500
W1 W 0.000 0.500 0.000
Au1 Au 0.500 0.500 0.500
```

## Properties
For the total DFT energy (no corrections), the calculation gives -42.03 eV for the cell shown.

---

Compound: TaZnReAu2
Source: the Alexandria database
Functional: PBE-GGA
Structure: relaxed

The structure in CIF format:
```
data_TaZnReAu2
_cell_length_a 5.135
_cell_length_b 5.135
_cell_length_c 4.771
_cell_angle_alpha 90.00
_cell_angle_beta 90.00
_cell_angle_gamma 90.00
_space_group_name_H-M_alt 'P 4/m m m'
_space_group_IT_number 123
_space_group_name_Hall '-P 4 2'
loop_
_atom_site_label
_atom_site_type_symbol
_atom_site_fract_x
_atom_site_fract_y
_atom_site_fract_z
Ta1 Ta 0.000 0.000 0.000
Zn1 Zn 0.500 0.500 0.500
Re1 Re 0.000 0.000 0.500
Au1 Au 0.000 0.500 0.000
```

## Properties
For the total DFT energy (no corrections), the calculation gives -24.51 eV for the cell shown.

---

Compound: Re2TcAu
Source: the Alexandria database
Functional: PBE-GGA
Structure: relaxed

The structure in CIF format:
```
data_Re2TcAu
_cell_length_a 6.297
_cell_length_b 6.297
_cell_length_c 6.297
_cell_angle_alpha 90.00
_cell_angle_beta 90.00
_cell_angle_gamma 90.00
_space_group_name_H-M_alt 'F -4 3 m'
_space_group_IT_number 216
_space_group_name_Hall 'F -4 2 3'
loop_
_atom_site_label
_atom_site_type_symbol
_atom_site_fract_x
_atom_site_fract_y
_atom_site_fract_z
Re1 Re 0.000 0.000 0.000
Re2 Re 0.250 0.250 0.250
Tc1 Tc 0.250 0.250 0.750
Au1 Au 0.000 0.000 0.500
```

## Properties
For the total DFT energy (no corrections), the calculation gives -145.41 eV for the cell shown. The calculation puts the excess energy over the best structure of this formula in the dataset at 349.9 meV per atom.

---

Compound: Re3TcAu
Source: the Alexandria database
Functional: PBE-GGA
Structure: relaxed

The structure in CIF format:
```
data_Re3TcAu
_cell_length_a 4.653
_cell_length_b 4.653
_cell_length_c 4.653
_cell_angle_alpha 90.00
_cell_angle_beta 90.00
_cell_angle_gamma 90.00
_space_group_name_H-M_alt 'P m -3 m'
_space_group_IT_number 221
_space_group_name_Hall '-P 4 2 3'
loop_
_atom_site_label
_atom_site_type_symbol
_atom_site_fract_x
_atom_site_fract_y
_atom_site_fract_z
Re1 Re 0.000 0.000 0.500
Tc1 Tc 0.000 0.000 0.000
Au1 Au 0.500 0.500 0.500
```

## Properties
For the total DFT energy (no corrections), the calculation gives -40.23 eV for the cell shown. The calculation puts the excess energy over the best structure of this formula in the dataset at 0.0 meV per atom.

---

Compound: Re2TcAu
Source: the Alexandria database
Functional: PBE-GGA
Structure: relaxed

The structure in CIF format:
```
data_Re2TcAu
_cell_length_a 2.802
_cell_length_b 3.953
_cell_length_c 5.639
_cell_angle_alpha 90.00
_cell_angle_beta 90.00
_cell_angle_gamma 90.00
_space_group_name_H-M_alt 'P m m 2'
_space_group_IT_number 25
loop_
_space_group_symop_operation_xyz
'x,y,z'
'-x,-y,z'
'-x,y,z'
'x,-y,z'
loop_
_atom_site_label
_atom_site_type_symbol
_atom_site_fract_x
_atom_site_fract_y
_atom_site_fract_z
Re1 Re 0.000 0.000 0.000
Re2 Re 0.500 0.500 0.221
Tc1 Tc 0.000 0.000 0.443
Au1 Au 0.500 0.500 0.719
```

## Properties
For the total DFT energy (no corrections), the calculation gives -37.61 eV for the cell shown. The calculation puts the excess energy over the best structure of this formula in the dataset at 34.8 meV per atom.

---

Compound: ReTc2Au
Source: the Alexandria database
Functional: PBE-GGA
Structure: relaxed

The structure in CIF format:
```
data_ReTc2Au
_cell_length_a 3.915
_cell_length_b 3.938
_cell_length_c 7.956
_cell_angle_alpha 90.00
_cell_angle_beta 90.00
_cell_angle_gamma 90.00
_space_group_name_H-M_alt 'I m m 2'
_space_group_IT_number 44
loop_
_space_group_symop_operation_xyz
'x,y,z'
'-x,-y,z'
'-x,y,z'
'x,-y,z'
'x+1/2,y+1/2,z+1/2'
'-x+1/2,-y+1/2,z+1/2'
'-x+1/2,y+1/2,z+1/2'
'x+1/2,-y+1/2,z+1/2'
loop_
_atom_site_label
_atom_site_type_symbol
_atom_site_fract_x
_atom_site_fract_y
_atom_site_fract_z
Re1 Re 0.000 0.000 0.000
Tc1 Tc 0.000 0.000 0.499
Tc2 Tc 0.000 0.500 0.726
Au1 Au 0.000 0.500 0.246
```

## Properties
For the total DFT energy (no corrections), the calculation gives -70.55 eV for the cell shown. The calculation puts the excess energy over the best structure of this formula in the dataset at 125.6 meV per atom.

---

Compound: ReTc2Au
Source: the Alexandria database
Functional: PBE-GGA
Structure: relaxed

The structure in CIF format:
```
data_ReTc2Au
_cell_length_a 3.956
_cell_length_b 3.956
_cell_length_c 3.879
_cell_angle_alpha 90.00
_cell_angle_beta 90.00
_cell_angle_gamma 90.00
_space_group_name_H-M_alt 'P 4/m m m'
_space_group_IT_number 123
_space_group_name_Hall '-P 4 2'
loop_
_atom_site_label
_atom_site_type_symbol
_atom_site_fract_x
_atom_site_fract_y
_atom_site_fract_z
Re1 Re 0.000 0.000 0.000
Tc1 Tc 0.000 0.500 0.500
Au1 Au 0.500 0.500 0.000
```

## Properties
For the total DFT energy (no corrections), the calculation gives -35.33 eV for the cell shown. The calculation puts the excess energy over the best structure of this formula in the dataset at 110.2 meV per atom.

---

no.,total magnetization (μB/f.u.),formation enthalpy at 0 K (meV/atom)
1,0.00,1873
2,0.00,2290
3,0.86,1523
4,0.00,547
5,0.00,2152
6,0.00,231
7,0.00,296
8,0.00,281